[1]
Computed, not measured: a relaxed structure of AcTlPb2Br8 at the PBE level of DFT.

a b c (Å): 7.0483 9.4081 7.4254
angles (deg): 90.00 90.54 90.00
With the nearest neighbours (Å) after each atom.
Space group P2/m (No. 10)
Inequivalent atoms, fractional coordinates:
Ac 0.0000 0.0000 0.0000  6 Br 3.04-3.08
Tl 0.0000 0.5000 0.0000  6 Br 3.29-3.31
Pb 0.5000 0.2578 0.5000  6 Br 2.98-3.23
Br 0.2490 0.2319 0.1619  1 Ac 3.04, 1 Pb 3.07, 1 Tl 3.29
Br 0.2548 0.0000 0.6649  1 Ac 3.08, 2 Pb 3.23
Br 0.2709 0.5000 0.6375  2 Pb 2.98, 1 Tl 3.31

Calculated values
Energy relative to the elements, uncorrected: -1.258 eV per atom
Spin magnetization: 0.00 μB per formula unit

***

[2]
Computed, not measured: a relaxed structure of Tb4HoPbS8 at the PBE level of DFT.

a b c (Å): 8.1816 8.1816 19.9362
angles (deg): 90.00 90.00 120.00
With the nearest neighbours (Å) after each atom.
Space group R3m (No. 160, hexagonal axes)
Inequivalent atoms, fractional coordinates:
Tb 0.0000 0.0000 0.0000  4 S 2.65-2.66
Tb 0.1693 0.3385 0.2080  6 S 2.72-2.83
Ho 0.0000 0.0000 0.3771  6 S 2.70-2.81
Pb 0.0000 0.0000 0.7508  4 S 2.76-2.78
S 0.0000 0.0000 0.1330  4 Tb 2.65-2.83
S 0.0000 0.0000 0.6123  3 Tb 2.72, 1 Pb 2.76
S 0.0375 0.5188 0.1289  1 Ho 2.70, 2 Tb 2.72, 1 Pb 2.78
S 0.1778 0.3556 0.9566  3 Tb 2.66-2.83, 1 Ho 2.81

Calculated values
Energy relative to the elements, uncorrected: -1.771 eV per atom
Spin magnetization: 0.00 μB per formula unit

***

[3]
Computed, not measured: a relaxed structure of BeCd2Ru at the PBE level of DFT.

a b c (Å): 3.7986 3.7986 19.2715
angles (deg): 90.00 90.00 90.00
With the nearest neighbours (Å) after each atom.
Space group I-42d (No. 122)
Inequivalent atoms, fractional coordinates:
Be 0.0000 0.0000 0.0000  4 Ru 2.69, 4 Cd 2.76
Cd 0.2483 0.2500 0.1250  4 Cd 2.68-2.70, 2 Be 2.76, 2 Ru 2.76
Ru 0.0000 0.0000 0.5000  4 Be 2.69, 4 Cd 2.76

Calculated values
Final energy: -3.06 eV per atom
Spin magnetization: 0.69 μB per formula unit